No. 1
{"formula": "Li3FeN2", "functional": "SCAN", "state": "PBEsol geometry", "lattice": [[4.606, 0.000, 0.000], [0.000, 4.740, 0.000], [-2.303, -2.370, 4.687]], "species": ["Li", "Li", "Li", "Li", "Li", "Li", "Fe", "Fe", "N", "N", "N", "N"], "frac_coords": [[0.750, 0.500, 0.000], [0.250, 0.500, 0.000], [0.007, 0.257, 0.514], [0.493, 0.743, 0.486], [0.507, 0.257, 0.514], [0.993, 0.743, 0.486], [0.750, 0.000, 0.000], [0.250, 0.000, 0.000], [0.113, 0.893, 0.226], [0.387, 0.667, 0.774], [0.887, 0.107, 0.774], [0.613, 0.333, 0.226]], "total_energy_ev_per_atom": -7.794, "e_form_raw_mev_per_atom": -481}



No. 2
{"formula": "LiZrTe2N", "functional": "SCAN", "state": "PBEsol geometry", "lattice": [[-3.828, -0.657, -0.576], [0.858, 0.030, -5.732], [0.964, -5.715, 0.114]], "species": ["Te", "Te", "Li", "Zr", "N"], "frac_coords": [[0.000, 0.000, 0.500], [0.000, 0.500, 0.000], [0.500, 0.500, 0.500], [0.000, 0.000, 0.000], [0.500, 0.000, 0.000]], "total_energy_ev_per_atom": -23.712, "e_form_raw_mev_per_atom": -336}



No. 3
{"formula": "CsCr2Tc2", "functional": "SCAN", "state": "PBEsol geometry", "lattice": [[-2.004, 2.709, 1.960], [-3.292, -1.198, -1.711], [1.581, -5.363, 5.152]], "species": ["Cs", "Cr", "Cr", "Tc", "Tc"], "frac_coords": [[0.000, 0.000, 0.000], [0.250, 0.750, 0.500], [0.750, 0.250, 0.500], [0.340, 0.340, 0.679], [0.660, 0.660, 0.321]], "total_energy_ev_per_atom": -28.021}



No. 4
{"formula": "CdIn2Cu", "functional": "SCAN", "state": "PBEsol geometry", "lattice": [[3.060, 0.000, 0.000], [0.000, 3.060, 0.000], [0.000, 0.000, 8.515]], "species": ["Cd", "Cu", "In", "In"], "frac_coords": [[0.500, 0.500, 0.000], [0.500, 0.500, 0.500], [0.000, 0.000, 0.711], [0.000, 0.000, 0.289]], "total_energy_ev_per_atom": -27.980}



No. 5
{"formula": "TlGe2BiTe", "functional": "SCAN", "state": "PBEsol geometry", "lattice": [[-5.308, 1.300, -0.379], [-0.911, -2.293, 4.890], [1.092, 5.235, 2.659]], "species": ["Tl", "Te", "Ge", "Ge", "Bi"], "frac_coords": [[0.500, 0.500, 0.500], [0.000, 0.000, 0.500], [0.000, 0.500, 0.000], [0.500, 0.000, 0.000], [0.000, 0.000, 0.000]], "total_energy_ev_per_atom": -44.509, "e_form_raw_mev_per_atom": 764}



No. 6
{"formula": "As2IrCl", "functional": "SCAN", "state": "PBEsol geometry", "lattice": [[2.972, 0.000, 0.000], [0.000, 3.219, 0.000], [0.000, 0.000, 7.329]], "species": ["As", "As", "Ir", "Cl"], "frac_coords": [[0.000, 0.000, 0.706], [0.000, 0.000, 0.294], [0.500, 0.500, 0.500], [0.500, 0.500, 0.000]], "total_energy_ev_per_atom": -29.858, "e_form_raw_mev_per_atom": 7, "relative_energy_mev_per_atom": 343.3}



Number 1: calculated density 3.40 Mg/m³, M_tot 0.17 μB per atom. Number 2: calculated density 4.62 Mg/m³, M_tot 0.14 μB per atom. Number 3: calculated density 6.67 Mg/m³, M_tot 0.00 μB per atom. Number 4: calculated density 8.45 Mg/m³, M_tot 0.00 μB per atom. Number 5: calculated density 6.36 Mg/m³, M_tot 0.00 μB per atom. Number 6: calculated density 8.94 Mg/m³, M_tot 0.00 μB per atom.